Entry 1:
Compound: NaV2S2
Source: the Alexandria database
Functional: PBE
Structure: relaxed

abc: 6.9248 6.9248 3.0910
angles: 90.00 90.00 90.00
Last column: nearest neighbours and their distance in Å.
Sites, in units of the cell vectors:
1 Na 0.0000 0.0000 0.0000  4 S 2.64
2 Na 0.5000 0.5000 0.0000  4 S 2.64
3 S 0.3504 0.8504 0.0000  6 V 2.51-2.61, 2 Na 2.64
4 S 0.8504 0.6496 0.0000  6 V 2.51-2.61, 2 Na 2.64
5 S 0.6496 0.1496 0.0000  6 V 2.51-2.61, 2 Na 2.64
6 S 0.1496 0.3504 0.0000  6 V 2.51-2.61, 2 Na 2.64
7 V 0.1359 0.6359 0.5000  6 S 2.51-2.61, 1 V 2.66
8 V 0.6359 0.8641 0.5000  6 S 2.51-2.61, 1 V 2.66
9 V 0.8641 0.3641 0.5000  6 S 2.51-2.61, 1 V 2.66
10 V 0.3641 0.1359 0.5000  6 S 2.51-2.61, 1 V 2.66

Density: 4.2 g/cm³
Magnetization: 2.81 μB per formula unit
Energy relative to the lowest polymorph listed for this composition: 0.5585 eV per atom
Electronic total energy: -5.883 eV/atom
Uncorrected formation energy: -0.32 eV/atom

Entry 2:
Compound: K2Na5Hg5
Source: the Alexandria database
Functional: PBE
Structure: relaxed

abc: 5.0402 6.7758 11.4968
angles: 90.00 90.00 90.00
Last column: nearest neighbours and their distance in Å.
Sites, in units of the cell vectors:
1 K 0.0000 0.5000 0.0000  10 Hg 3.82-4.22, 8 Na 4.09
2 K 0.0000 0.0000 0.5000  6 Hg 3.88-3.90, 12 Na 4.22-4.28
3 Na 0.5000 0.5000 0.5000  4 Hg 3.18, 4 Na 3.47
4 Na 0.5000 0.7511 0.2373  5 Hg 3.15-3.23, 3 Na 3.37-3.47
5 Na 0.5000 0.2489 0.7627  5 Hg 3.15-3.23, 3 Na 3.37-3.47
6 Na 0.5000 0.2489 0.2373  5 Hg 3.15-3.23, 3 Na 3.37-3.47
7 Na 0.5000 0.7511 0.7627  5 Hg 3.15-3.23, 3 Na 3.37-3.47
8 Hg 0.0000 0.5000 0.3318  6 Na 3.18-3.23
9 Hg 0.0000 0.0000 0.8376  2 Hg 3.14, 4 Na 3.15
10 Hg 0.0000 0.0000 0.1624  2 Hg 3.14, 4 Na 3.15
11 Hg 0.0000 0.5000 0.6682  6 Na 3.18-3.23
12 Hg 0.5000 0.0000 0.0000  4 Hg 3.14, 4 Na 3.21

Density: 5.1 g/cm³
Magnetization: 0.00 μB per formula unit
Formation energy from the elements: -188 meV per atom
Electronic total energy: -1.047 eV/atom

Entry 3:
Compound: BaLi2ZnAu4
Source: the Alexandria database
Functional: PBE
Structure: relaxed

abc: 4.5087 4.5087 9.9676
angles: 76.93 76.93 60.00
Last column: nearest neighbours and their distance in Å.
Sites, in units of the cell vectors:
1 Ba 0.0000 0.0000 0.0000  6 Au 3.38
2 Li 0.7706 0.7706 0.6881  7 Au 2.73-2.79
3 Li 0.2294 0.2294 0.3119  7 Au 2.73-2.79
4 Zn 0.5000 0.5000 0.5000  8 Au 2.65-2.78
5 Au 0.4081 0.4081 0.7757  1 Zn 2.65, 3 Li 2.74
6 Au 0.8672 0.8672 0.3985  4 Li 2.73-2.79, 3 Zn 2.78
7 Au 0.1328 0.1328 0.6015  4 Li 2.73-2.79, 3 Zn 2.78
8 Au 0.5919 0.5919 0.2243  1 Zn 2.65, 3 Li 2.74

Density: 9.8 g/cm³
Magnetization: 0.00 μB per formula unit
Formation energy from the elements: -505 meV per atom
Electronic total energy: -3.022 eV/atom

Entry 4:
Compound: Nd4TlZn2
Source: the Alexandria database
Functional: PBE
Structure: relaxed

abc: 5.2536 5.2536 8.9320
angles: 72.90 72.90 60.00
Last column: nearest neighbours and their distance in Å.
Sites, in units of the cell vectors:
1 Nd 0.8676 0.8676 0.3973  4 Zn 3.07-3.32, 1 Tl 3.34
2 Nd 0.1324 0.1324 0.6027  4 Zn 3.07-3.32, 1 Tl 3.34
3 Nd 0.6146 0.6146 0.1561  4 Zn 3.11-3.30, 3 Tl 3.30
4 Nd 0.3854 0.3854 0.8439  4 Zn 3.11-3.30, 3 Tl 3.30
5 Tl 0.0000 0.0000 0.0000  8 Nd 3.30-3.34, 6 Zn 3.63
6 Zn 0.7457 0.7457 0.7629  8 Nd 3.07-3.32
7 Zn 0.2543 0.2543 0.2371  8 Nd 3.07-3.32

Density: 7.5 g/cm³
Magnetization: 0.00 μB per formula unit
Formation energy from the elements: -194 meV per atom
Energy relative to the lowest polymorph listed for this composition: 0.0000 eV per atom
Electronic total energy: -3.621 eV/atom

Entry 5:
Compound: Ho2TiAl2Co5
Source: the Alexandria database
Functional: PBE
Structure: relaxed

abc: 3.2173 9.6282 9.6282
angles: 90.00 90.00 90.00
Last column: nearest neighbours and their distance in Å.
Sites, in units of the cell vectors:
1 Ho 0.0000 0.6731 0.1731  3 Al 2.75-2.91, 10 Co 2.85-3.04
2 Ho 0.0000 0.3269 0.8269  3 Al 2.75-2.91, 10 Co 2.85-3.04
3 Ho 0.0000 0.1731 0.3269  3 Al 2.75-2.91, 10 Co 2.85-3.04
4 Ho 0.0000 0.8269 0.6731  3 Al 2.75-2.91, 10 Co 2.85-3.04
5 Ti 0.0000 0.0000 0.0000  8 Co 2.58
6 Ti 0.0000 0.5000 0.5000  8 Co 2.58
7 Al 0.0000 0.1250 0.6250  6 Co 2.34-2.40
8 Al 0.0000 0.8750 0.3750  6 Co 2.34-2.40
9 Al 0.0000 0.6250 0.8750  6 Co 2.34-2.40
10 Al 0.0000 0.3750 0.1250  6 Co 2.34-2.40
11 Co 0.5000 0.2002 0.0624  2 Al 2.40, 2 Ti 2.58
12 Co 0.5000 0.7998 0.9376  2 Al 2.40, 2 Ti 2.58
13 Co 0.5000 0.0624 0.7998  2 Al 2.40, 2 Ti 2.58
14 Co 0.5000 0.7002 0.4376  2 Al 2.40, 2 Ti 2.58
15 Co 0.5000 0.9376 0.2002  2 Al 2.40, 2 Ti 2.58
16 Co 0.5000 0.2998 0.5624  2 Al 2.40, 2 Ti 2.58
17 Co 0.5000 0.5624 0.7002  2 Al 2.40, 2 Ti 2.58
18 Co 0.5000 0.4376 0.2998  2 Al 2.40, 2 Ti 2.58
19 Co 0.5000 0.5000 0.0000  4 Al 2.34
20 Co 0.5000 0.0000 0.5000  4 Al 2.34

Density: 8.1 g/cm³
Magnetization: 0.00 μB per formula unit
Formation energy from the elements: -278 meV per atom
Electronic total energy: -6.285 eV/atom

Entry 6:
Compound: Pr2H2Pb
Source: the Alexandria database
Functional: PBE
Structure: relaxed

abc: 4.2182 4.2182 6.3903
angles: 109.27 109.27 90.00
Last column: nearest neighbours and their distance in Å.
Sites, in units of the cell vectors:
1 Pr 0.6530 0.6530 0.3061  4 H 2.38
2 Pr 0.3470 0.3470 0.6939  4 H 2.38
3 H 0.7500 0.2500 0.5000  4 Pr 2.38
4 H 0.2500 0.7500 0.5000  4 Pr 2.38
5 Pb 0.0000 0.0000 0.0000  8 Pr 3.45, 8 H 3.53

Density: 8.1 g/cm³
Magnetization: 0.00 μB per formula unit
Electronic total energy: -4.625 eV/atom

Entry 7:
Compound: LaZnCl
Source: the Alexandria database
Functional: PBE
Structure: relaxed

abc: 4.9498 4.9498 4.9498
angles: 60.00 60.00 60.00
Last column: nearest neighbours and their distance in Å.
Sites, in units of the cell vectors:
1 Cl 0.0000 0.0000 0.0000  4 Zn 3.03
2 La 0.5000 0.5000 0.5000  4 Zn 3.03
3 Zn 0.7500 0.7500 0.7500  4 Cl 3.03, 4 La 3.03

Density: 4.6 g/cm³
Magnetization: 0.00 μB per formula unit
Energy relative to the lowest polymorph listed for this composition: 0.8633 eV per atom
Electronic total energy: -3.039 eV/atom
Uncorrected formation energy: -0.36 eV/atom

Entry 8:
Compound: Na3Ca2UO6
Source: the Alexandria database
Functional: PBE
Structure: relaxed

abc: 5.9558 5.9558 5.9133
angles: 99.79 99.79 119.97
Last column: nearest neighbours and their distance in Å.
Sites, in units of the cell vectors:
1 Na 0.1676 0.8324 0.5000  6 O 2.49-2.65
2 Na 0.8324 0.1676 0.5000  6 O 2.49-2.65
3 Na 0.5000 0.5000 0.5000  6 O 2.48-2.70
4 Ca 0.3332 0.6668 0.0000  6 O 2.38-2.40
5 Ca 0.6668 0.3332 0.0000  6 O 2.38-2.40
6 U 0.0000 0.0000 0.0000  6 O 2.17-2.19
7 O 0.9281 0.6207 0.7842  1 U 2.19, 2 Ca 2.39-2.40
8 O 0.7646 0.7646 0.2098  1 U 2.17, 2 Ca 2.38
9 O 0.0719 0.3793 0.2158  1 U 2.19, 2 Ca 2.39-2.40
10 O 0.6207 0.9281 0.7842  1 U 2.19, 2 Ca 2.39-2.40
11 O 0.2354 0.2354 0.7902  1 U 2.17, 2 Ca 2.38
12 O 0.3793 0.0719 0.2158  1 U 2.19, 2 Ca 2.39-2.40

Density: 4.7 g/cm³
Magnetization: 1.00 μB per formula unit
Electronic total energy: -6.700 eV/atom
Uncorrected formation energy: -2.62 eV/atom